[1]
This record from the Alexandria database describes a relaxed structure of LiVFeSi2. The functional is PBE.

Cell: 4.542 4.542 4.489 Å, 90.00 90.00 90.00°
Positions (direct):
Li 0.000 0.000 0.000
V 0.000 0.000 0.500
Fe 0.500 0.500 0.000
Si 0.000 0.500 0.500
Si 0.500 0.000 0.500

ΔE_f (raw) = 0.970 eV per atom
density = 3.0 g/cm3
DOS(E_F) = 3.935 states/eV/cell
M_tot = 5.292 μB per formula unit
SG = No. 123

[2]
This record from the Alexandria database describes a relaxed structure of LiFeSiW. The functional is PBE.

Cell: 4.072 4.072 4.072 Å, 60.00 60.00 60.00°
Positions (direct):
Li 0.000 0.000 0.000
Fe 0.500 0.500 0.500
Si 0.250 0.250 0.250
W 0.750 0.750 0.750

ΔE_f (raw) = -0.056 eV per atom
density = 9.6 g/cm3
DOS(E_F) = 3.508 states/eV/cell
M_tot = 0.000 μB per formula unit
SG = No. 216

[3]
This record from the Alexandria database describes a relaxed structure of LiYFeSi2. The functional is PBE.

Cell: 4.416 4.416 4.976 Å, 90.00 90.00 90.00°
Positions (direct):
Li 0.000 0.000 0.000
Y 0.500 0.500 0.000
Fe 0.500 0.500 0.500
Si 0.000 0.500 0.500
Si 0.500 0.000 0.500

ΔE_f (raw) = 0.002 eV per atom
density = 3.6 g/cm3
DOS(E_F) = 2.899 states/eV/cell
M_tot = 0.051 μB per formula unit
energy above the lowest structure with this stoichiometry = 0.000 eV per atom
SG = No. 123

[4]
This record from the Alexandria database describes a relaxed structure of LiYFeSi2. The functional is PBE.

Cell: 4.335 4.335 4.180 Å, 90.00 90.00 90.00°
Positions (direct):
Li 0.000 0.000 0.000
Y 0.500 0.500 0.500
Fe 0.000 0.000 0.500
Si 0.000 0.500 0.000
Si 0.500 0.000 0.000

ΔE_f (raw) = 0.270 eV per atom
density = 4.4 g/cm3
DOS(E_F) = 3.446 states/eV/cell
M_tot = 2.410 μB per formula unit
energy above the lowest structure with this stoichiometry = 0.268 eV per atom
SG = No. 123

[5]
This record from the Alexandria database describes a relaxed structure of LiZnFeSi2. The functional is PBE.

Cell: 4.201 4.201 3.976 Å, 90.00 90.00 90.00°
Positions (direct):
Li 0.000 0.000 0.000
Zn 0.500 0.500 0.500
Fe 0.000 0.000 0.500
Si 0.000 0.500 0.000
Si 0.500 0.000 0.000

ΔE_f (raw) = 0.882 eV per atom
density = 4.4 g/cm3
DOS(E_F) = 5.350 states/eV/cell
M_tot = 2.168 μB per formula unit
SG = No. 123

[6]
This record from the Alexandria database describes a relaxed structure of LiZrFeSi. The functional is PBE.

Cell: 4.259 4.259 4.259 Å, 60.00 60.00 60.00°
Positions (direct):
Li 0.000 0.000 0.000
Zr 0.250 0.250 0.250
Fe 0.500 0.500 0.500
Si 0.750 0.750 0.750

ΔE_f (raw) = -0.377 eV per atom
density = 5.5 g/cm3
DOS(E_F) = 2.471 states/eV/cell
M_tot = 1.008 μB per formula unit
SG = No. 216

[7]
This record from the Alexandria database describes a relaxed structure of LiSm6Fe2. The functional is PBE.

Cell: 8.581 8.581 8.581 Å, 110.55 110.26 107.61°
Positions (direct):
Li 0.000 0.000 0.000
Li 0.500 0.500 0.000
Sm 0.111 0.809 0.302
Sm 0.210 0.314 0.524
Sm 0.210 0.686 0.896
Sm 0.281 0.071 0.790
Sm 0.281 0.491 0.210
Sm 0.493 0.191 0.302
Sm 0.507 0.809 0.698
Sm 0.719 0.509 0.790
Sm 0.719 0.929 0.210
Sm 0.790 0.314 0.104
Sm 0.790 0.686 0.476
Sm 0.889 0.191 0.698
Fe 0.107 0.607 0.500
Fe 0.500 0.114 0.614
Fe 0.500 0.886 0.386
Fe 0.893 0.393 0.500

density = 7.0 g/cm3
DOS(E_F) = 18.013 states/eV/cell
M_tot = 1.613 μB per formula unit
SG = No. 71
ΔH_f (0 K) = 0.0446 eV per atom

[8]
This record from the Alexandria database describes a relaxed structure of LiSm3Fe. The functional is PBE.

Cell: 5.298 5.298 5.298 Å, 90.00 90.00 90.00°
Positions (direct):
Li 0.000 0.000 0.000
Sm 0.000 0.500 0.500
Sm 0.500 0.000 0.500
Sm 0.500 0.500 0.000
Fe 0.500 0.500 0.500

density = 5.7 g/cm3
DOS(E_F) = 5.864 states/eV/cell
M_tot = 0.001 μB per formula unit
SG = No. 221
ΔH_f (0 K) = 0.1683 eV per atom

[9]
This record from the Alexandria database describes a relaxed structure of LiSmThFe. The functional is PBE.

Cell: 4.972 4.972 4.972 Å, 60.00 60.00 60.00°
Positions (direct):
Li 0.000 0.000 0.000
Sm 0.750 0.750 0.750
Th 0.250 0.250 0.250
Fe 0.500 0.500 0.500

density = 8.5 g/cm3
DOS(E_F) = 4.983 states/eV/cell
M_tot = 0.003 μB per formula unit
SG = No. 216
ΔH_f (0 K) = 0.1488 eV per atom

[10]
This record from the Alexandria database describes a relaxed structure of Li3FeSn. The functional is PBE.

Cell: 4.671 4.671 4.671 Å, 90.00 90.00 90.00°
Positions (direct):
Li 0.000 0.000 0.500
Li 0.000 0.500 0.000
Li 0.500 0.000 0.000
Fe 0.000 0.000 0.000
Sn 0.500 0.500 0.500

density = 3.2 g/cm3
DOS(E_F) = 8.635 states/eV/cell
M_tot = 2.603 μB per formula unit
energy above the lowest structure with this stoichiometry = 0.000 eV per atom
SG = No. 221
ΔH_f (0 K) = 0.5615 eV per atom

[11]
This record from the Alexandria database describes a relaxed structure of LiFe2Sn2. The functional is PBE.

Cell: 7.527 7.527 3.040 Å, 90.00 90.00 90.00°
Positions (direct):
Li 0.000 0.000 0.000
Li 0.500 0.500 0.000
Fe 0.111 0.389 0.000
Fe 0.389 0.889 0.000
Fe 0.611 0.111 0.000
Fe 0.889 0.611 0.000
Sn 0.180 0.680 0.500
Sn 0.320 0.180 0.500
Sn 0.680 0.820 0.500
Sn 0.820 0.320 0.500

density = 6.9 g/cm3
DOS(E_F) = 5.631 states/eV/cell
M_tot = 4.039 μB per formula unit
energy above the lowest structure with this stoichiometry = 0.000 eV per atom
SG = No. 127
ΔH_f (0 K) = 0.0769 eV per atom

[12]
This record from the Alexandria database describes a relaxed structure of LiFeSn2. The functional is PBE.

Cell: 9.526 9.526 9.526 Å, 153.56 153.56 37.74°
Positions (direct):
Li 0.000 0.000 0.000
Li 0.750 0.250 0.500
Fe 0.250 0.750 0.500
Fe 0.500 0.500 0.000
Sn 0.133 0.625 0.008
Sn 0.375 0.383 0.508
Sn 0.617 0.125 0.992
Sn 0.875 0.867 0.492

density = 5.8 g/cm3
DOS(E_F) = 8.981 states/eV/cell
M_tot = 2.827 μB per formula unit
energy above the lowest structure with this stoichiometry = 0.291 eV per atom
SG = No. 122
ΔH_f (0 K) = 0.2800 eV per atom

[13]
This record from the Alexandria database describes a relaxed structure of LiFeSn2. The functional is PBE.

Cell: 8.846 8.846 8.846 Å, 21.04 21.04 21.04°
Positions (direct):
Li 0.000 0.000 0.000
Fe 0.500 0.500 0.500
Sn 0.243 0.243 0.243
Sn 0.757 0.757 0.757

density = 6.4 g/cm3
DOS(E_F) = 2.622 states/eV/cell
M_tot = 1.848 μB per formula unit
energy above the lowest structure with this stoichiometry = 0.026 eV per atom
SG = No. 166
ΔH_f (0 K) = 0.0150 eV per atom

[14]
This record from the Alexandria database describes a relaxed structure of LiFeSn6. The functional is PBE.

Cell: 5.906 5.906 5.912 Å, 99.03 99.03 99.13°
Positions (direct):
Li 0.000 0.000 0.000
Fe 0.500 0.500 0.500
Sn 0.200 0.200 0.615
Sn 0.201 0.614 0.201
Sn 0.386 0.799 0.799
Sn 0.614 0.201 0.201
Sn 0.799 0.386 0.799
Sn 0.800 0.800 0.385

density = 6.5 g/cm3
DOS(E_F) = 3.031 states/eV/cell
M_tot = 0.000 μB per formula unit
SG = No. 12
ΔH_f (0 K) = 0.0308 eV per atom

[15]
This record from the Alexandria database describes a relaxed structure of LiFeSn2. The functional is PBE.

Cell: 3.074 3.074 8.110 Å, 90.00 90.00 90.00°
Positions (direct):
Li 0.000 0.000 0.000
Fe 0.000 0.000 0.500
Sn 0.500 0.500 0.279
Sn 0.500 0.500 0.721

density = 6.5 g/cm3
DOS(E_F) = 3.107 states/eV/cell
M_tot = 2.084 μB per formula unit
energy above the lowest structure with this stoichiometry = 0.000 eV per atom
SG = No. 123
ΔH_f (0 K) = -0.0111 eV per atom

[16]
This record from the Alexandria database describes a relaxed structure of LiFeSn2. The functional is PBE.

Cell: 4.557 4.557 4.557 Å, 60.00 60.00 60.00°
Positions (direct):
Li 0.000 0.000 0.000
Fe 0.500 0.500 0.500
Sn 0.250 0.250 0.250
Sn 0.750 0.750 0.750

density = 7.4 g/cm3
DOS(E_F) = 3.986 states/eV/cell
M_tot = 0.352 μB per formula unit
energy above the lowest structure with this stoichiometry = 0.048 eV per atom
SG = No. 225
ΔH_f (0 K) = 0.0371 eV per atom

[17]
This record from the Alexandria database describes a relaxed structure of LiFe2Sn2. The functional is PBE.

Cell: 5.241 5.241 5.241 Å, 123.70 123.70 83.71°
Positions (direct):
Li 0.000 0.000 0.000
Fe 0.361 0.361 0.000
Fe 0.639 0.639 0.000
Sn 0.250 0.750 0.500
Sn 0.750 0.250 0.500

density = 6.2 g/cm3
DOS(E_F) = 2.409 states/eV/cell
M_tot = 4.195 μB per formula unit
energy above the lowest structure with this stoichiometry = 0.159 eV per atom
SG = No. 139
ΔH_f (0 K) = 0.2356 eV per atom

[18]
This record from the Alexandria database describes a relaxed structure of LiFe2Sn. The functional is PBE.

Cell: 5.528 5.528 5.528 Å, 102.50 102.50 124.56°
Positions (direct):
Li 0.000 0.000 0.000
Li 0.750 0.250 0.500
Fe 0.110 0.125 0.485
Fe 0.375 0.890 0.015
Fe 0.640 0.625 0.515
Fe 0.875 0.360 0.985
Sn 0.250 0.750 0.500
Sn 0.500 0.500 0.000

density = 6.4 g/cm3
DOS(E_F) = 3.886 states/eV/cell
M_tot = 4.783 μB per formula unit
SG = No. 122
ΔH_f (0 K) = 0.4513 eV per atom

[19]
This record from the Alexandria database describes a relaxed structure of Sr2LiFe. The functional is PBE.

Cell: 6.777 6.777 5.499 Å, 113.07 113.07 32.60°
Positions (direct):
Sr 0.000 0.000 0.000
Sr 0.207 0.207 0.700
Li 0.407 0.407 0.406
Fe 0.741 0.741 0.232

density = 3.2 g/cm3
DOS(E_F) = 5.657 states/eV/cell
M_tot = 2.305 μB per formula unit
energy above the lowest structure with this stoichiometry = 0.045 eV per atom
SG = No. 8
ΔH_f (0 K) = 0.4707 eV per atom

[20]
This record from the Alexandria database describes a relaxed structure of Sr2LiFe. The functional is PBE.

Cell: 4.240 4.240 9.866 Å, 96.81 96.81 52.09°
Positions (direct):
Sr 0.234 0.234 0.205
Sr 0.766 0.766 0.795
Li 0.000 0.000 0.500
Fe 0.500 0.500 0.000

density = 2.8 g/cm3
DOS(E_F) = 5.404 states/eV/cell
M_tot = 2.211 μB per formula unit
energy above the lowest structure with this stoichiometry = 0.135 eV per atom
SG = No. 12
ΔH_f (0 K) = 0.5611 eV per atom